A plane-wave DFT calculation with PBE was carried out for NaAu3 after structural relaxation.

* size of the total moment: 0.0 μB per formula unit
* ΔH_f (0 K): -0.126 eV per atom

Geometry as POSCAR:
```
NaAu3
1.0
-2.111 -3.958 1.558
-1.277 -3.381 -3.081
2.338 -4.132 -0.094
Au Na
3 1
Direct
0.250 0.250 0.250
0.000 0.000 0.000
0.750 0.750 0.750
0.500 0.500 0.500
```

=====

A plane-wave DFT calculation with PBE was carried out for La2MnHg after structural relaxation.

* size of the total moment: 2.9 μB per formula unit
* ΔH_f (0 K): -0.071 eV per atom

Geometry as POSCAR:
```
La2MnHg
1.0
-0.533 -1.895 4.525
3.388 -1.625 -0.282
4.324 4.169 2.255
La Hg Mn
2 1 1
Direct
0.000 0.975 0.921
0.500 0.274 0.330
0.500 0.554 0.766
0.000 0.697 0.482
```

=====

A plane-wave DFT calculation with PBE was carried out for Tb2Al3Si4 after structural relaxation.

* size of the total moment: 0.0 μB per formula unit
* formation energy from raw total energies: -0.379 eV per atom

Geometry as POSCAR:
```
Tb2Al3Si4
1.0
5.793 0.000 0.000
0.000 7.767 0.000
-2.896 0.000 7.338
Si Tb Al
8 4 6
Direct
0.797 0.250 0.094
0.814 0.049 0.629
0.186 0.951 0.371
0.703 0.750 0.906
0.686 0.549 0.371
0.203 0.750 0.906
0.314 0.451 0.629
0.297 0.250 0.094
0.387 0.082 0.773
0.887 0.418 0.773
0.113 0.582 0.227
0.613 0.918 0.227
0.500 0.500 0.000
0.967 0.250 0.434
0.533 0.750 0.566
0.467 0.250 0.434
0.033 0.750 0.566
0.000 0.000 0.000
```

=====

A plane-wave DFT calculation with PBE was carried out for Hf2Zn2Hg after structural relaxation.

* size of the total moment: 0.0 μB per formula unit
* ΔH_f (0 K): -0.144 eV per atom
* energy above the lowest structure with this stoichiometry: 0.012 eV per atom

Geometry as POSCAR:
```
Hf2Zn2Hg
1.0
-1.546 -2.464 1.325
3.233 -0.578 2.696
-4.569 4.535 3.104
Hf Hg Zn
2 1 2
Direct
0.500 0.622 0.243
0.500 0.378 0.757
0.000 0.000 0.000
0.000 0.798 0.596
0.000 0.202 0.404
```

=====

A plane-wave DFT calculation with PBE was carried out for HfFeNi2S after structural relaxation.

* size of the total moment: 3.5 μB per formula unit
* formation energy from raw total energies: 0.956 eV per atom

Geometry as POSCAR:
```
HfFeNi2S
1.0
-0.675 -4.292 -1.576
3.809 0.425 -2.790
2.667 -1.664 3.388
S Ni Hf Fe
1 2 1 1
Direct
0.000 0.500 0.000
0.000 0.000 0.500
0.500 0.000 0.000
0.000 0.000 0.000
0.500 0.500 0.500
```

=====

A plane-wave DFT calculation with PBE was carried out for Sn2HgSe after structural relaxation.

* size of the total moment: 0.0 μB per formula unit
* formation energy from raw total energies: 0.039 eV per atom
* energy above the lowest structure with this stoichiometry: 0.151 eV per atom

Geometry as POSCAR:
```
Sn2HgSe
1.0
-3.718 -2.313 -2.905
-4.194 2.748 -1.573
-0.552 1.281 -5.067
Sn Hg Se
2 1 1
Direct
0.250 0.250 0.250
0.750 0.750 0.750
0.500 0.500 0.500
0.000 0.000 0.000
```

=====

A plane-wave DFT calculation with PBE was carried out for BaLaHg2 after structural relaxation.

* size of the total moment: 0.0 μB per formula unit
* ΔH_f (0 K): -0.349 eV per atom

Geometry as POSCAR:
```
BaLaHg2
1.0
-5.033 -4.141 -0.477
-3.776 -3.338 -4.161
2.232 -5.099 -0.349
Hg La Ba
2 1 1
Direct
0.019 0.019 0.032
0.731 0.731 0.711
0.481 0.481 0.564
0.268 0.268 0.193
```

=====

A plane-wave DFT calculation with PBE was carried out for ZrNpRu after structural relaxation.

* size of the total moment: 0.0 μB per formula unit
* ΔH_f (0 K): 0.362 eV per atom

Geometry as POSCAR:
```
ZrNpRu
1.0
4.733 0.000 0.000
2.366 4.195 0.000
2.366 0.000 11.491
Np Ru Zr
4 4 4
Direct
0.627 0.500 0.746
0.873 0.500 0.254
0.877 0.000 0.246
0.123 0.000 0.754
0.558 0.000 0.884
0.308 0.500 0.384
0.442 0.000 0.116
0.192 0.500 0.616
0.173 0.654 0.000
0.923 0.154 0.500
0.827 0.346 0.000
0.577 0.846 0.500
```

=====

A plane-wave DFT calculation with PBE was carried out for HgWAu3 after structural relaxation.

* size of the total moment: 0.0 μB per formula unit
* ΔH_f (0 K): 1.121 eV per atom
* energy above the lowest structure with this stoichiometry: 0.000 eV per atom

Geometry as POSCAR:
```
HgWAu3
1.0
5.111 0.000 0.000
0.000 5.111 0.000
0.000 0.000 5.111
Au Hg W
3 1 1
Direct
0.500 0.000 0.000
0.000 0.000 0.500
0.000 0.500 0.000
0.500 0.500 0.500
0.000 0.000 0.000
```

=====

A plane-wave DFT calculation with PBE was carried out for VZn2Pt2 after structural relaxation.

* size of the total moment: 3.2 μB per formula unit
* ΔH_f (0 K): 0.038 eV per atom
* energy above the lowest structure with this stoichiometry: 0.340 eV per atom

Geometry as POSCAR:
```
VZn2Pt2
1.0
-3.535 -1.605 0.452
0.690 -0.442 3.821
-3.561 3.957 3.099
Pt Zn V
2 2 1
Direct
0.750 0.250 0.500
0.250 0.750 0.500
0.605 0.605 0.790
0.395 0.395 0.210
0.000 0.000 0.000
```

=====

A plane-wave DFT calculation with PBE was carried out for YSc2Pt after structural relaxation.

* size of the total moment: 0.0 μB per formula unit
* ΔH_f (0 K): -0.706 eV per atom
* energy above the lowest structure with this stoichiometry: 0.000 eV per atom

Geometry as POSCAR:
```
YSc2Pt
1.0
4.537 -0.001 0.000
-2.270 5.638 0.000
0.000 0.000 7.457
Y Pt Sc
2 2 4
Direct
0.947 0.893 0.250
0.053 0.107 0.750
0.799 0.598 0.750
0.201 0.402 0.250
0.346 0.691 0.955
0.654 0.309 0.455
0.654 0.309 0.045
0.346 0.691 0.545
```

=====

A plane-wave DFT calculation with PBE was carried out for SrNb3Bi after structural relaxation.

* size of the total moment: 0.0 μB per formula unit
* ΔH_f (0 K): 2.304 eV per atom
* energy above the lowest structure with this stoichiometry: 0.807 eV per atom

Geometry as POSCAR:
```
SrNb3Bi
1.0
4.997 0.000 0.000
0.000 4.997 0.000
0.000 0.000 4.997
Nb Sr Bi
3 1 1
Direct
0.000 0.000 0.500
0.000 0.500 0.000
0.500 0.000 0.000
0.000 0.000 0.000
0.500 0.500 0.500
```

=====

A plane-wave DFT calculation with PBE was carried out for PmSm2Zn2Sn2 after structural relaxation.

* size of the total moment: 0.0 μB per formula unit
* ΔH_f (0 K): -0.375 eV per atom

Geometry as POSCAR:
```
PmSm2Zn2Sn2
1.0
-0.815 -3.513 -2.949
-1.485 -4.106 1.623
-9.916 0.389 -1.402
Sm Zn Sn Pm
2 2 2 1
Direct
0.131 0.131 0.607
0.869 0.869 0.393
0.417 0.417 0.748
0.583 0.583 0.252
0.732 0.732 0.803
0.268 0.268 0.197
0.000 0.000 0.000
```

=====

A plane-wave DFT calculation with PBE was carried out for YHo2TcO8 after structural relaxation.

* size of the total moment: 0.0 μB per formula unit
* formation energy from raw total energies: -2.641 eV per atom

Geometry as POSCAR:
```
YHo2TcO8
1.0
-0.087 1.554 -4.787
-4.888 1.067 0.491
1.560 6.231 1.994
Ho O Tc Y
2 8 1 1
Direct
0.500 0.500 0.748
0.500 0.500 0.252
0.308 0.307 0.500
0.692 0.693 0.500
0.730 0.731 0.000
0.818 0.183 0.793
0.182 0.817 0.793
0.270 0.269 0.000
0.182 0.817 0.207
0.818 0.183 0.207
0.000 0.000 0.000
0.000 0.000 0.500
```

=====

A plane-wave DFT calculation with PBE was carried out for Pr6Ru2AuBr3 after structural relaxation.

* size of the total moment: 0.0 μB per formula unit
* formation energy from raw total energies: -0.894 eV per atom

Geometry as POSCAR:
```
Pr6Ru2AuBr3
1.0
7.277 -0.001 0.002
-3.638 6.302 0.002
-1.211 -2.098 7.907
Pr Au Br Ru
6 1 3 2
Direct
0.578 0.934 0.801
0.422 0.066 0.199
0.066 0.422 0.199
0.710 0.710 0.198
0.290 0.290 0.802
0.934 0.578 0.801
0.000 0.000 0.000
0.831 0.169 0.500
0.500 0.500 0.500
0.169 0.831 0.500
0.667 0.333 0.000
0.333 0.667 0.000
```

=====

A plane-wave DFT calculation with PBE was carried out for Sc2HRuRh after structural relaxation.

* size of the total moment: 0.0 μB per formula unit
* energy above the lowest structure with this stoichiometry: 0.024 eV per atom

Geometry as POSCAR:
```
Sc2HRuRh
1.0
-0.472 0.120 4.514
4.278 -1.441 0.485
1.086 3.231 0.027
Rh Ru Sc H
1 1 2 1
Direct
0.000 0.000 0.500
0.500 0.500 0.500
0.000 0.500 0.000
0.500 0.000 0.000
0.000 0.000 0.000
```

=====

A plane-wave DFT calculation with PBE was carried out for Ba10As4O3 after structural relaxation.

* size of the total moment: 0.0 μB per formula unit
* formation energy from raw total energies: -1.444 eV per atom

Geometry as POSCAR:
```
Ba10As4O3
1.0
0.233 5.032 -1.776
-4.107 -0.965 -3.276
-10.316 3.392 16.292
As Ba O
4 10 3
Direct
0.432 0.432 0.865
0.697 0.697 0.394
0.303 0.303 0.606
0.568 0.568 0.135
0.782 0.782 0.564
0.000 0.500 0.000
0.142 0.642 0.283
0.500 0.000 0.000
0.642 0.142 0.283
0.218 0.218 0.436
0.930 0.930 0.860
0.070 0.070 0.140
0.858 0.358 0.717
0.358 0.858 0.717
0.142 0.142 0.285
0.000 0.000 0.000
0.858 0.858 0.715
```

=====

A plane-wave DFT calculation with PBE was carried out for PaTcGeOs after structural relaxation.

* size of the total moment: 0.0 μB per formula unit
* ΔH_f (0 K): -0.137 eV per atom

Geometry as POSCAR:
```
PaTcGeOs
1.0
-2.717 1.609 3.409
-2.331 -2.969 2.710
1.256 -0.572 4.437
Tc Ge Pa Os
1 1 1 1
Direct
0.000 0.000 0.000
0.250 0.250 0.250
0.750 0.750 0.750
0.500 0.500 0.500
```

=====

A plane-wave DFT calculation with PBE was carried out for BaAc2Rh after structural relaxation.

* size of the total moment: 0.0 μB per formula unit
* ΔH_f (0 K): -0.417 eV per atom
* energy above the lowest structure with this stoichiometry: 0.004 eV per atom

Geometry as POSCAR:
```
BaAc2Rh
1.0
4.359 0.000 0.000
2.180 3.775 0.000
2.180 1.258 10.594
Rh Ac Ba
1 2 1
Direct
0.000 0.000 0.000
0.283 0.283 0.151
0.717 0.717 0.849
0.500 0.500 0.500
```

=====

A plane-wave DFT calculation with PBE was carried out for Ba8Ag3HgI4 after structural relaxation.

* size of the total moment: 0.0 μB per formula unit
* formation energy from raw total energies: -0.818 eV per atom

Geometry as POSCAR:
```
Ba8Ag3HgI4
1.0
-0.847 5.226 -8.061
-2.761 -8.669 -5.330
-5.236 2.251 7.779
Ag I Ba Hg
3 4 8 1
Direct
0.000 0.500 0.500
0.500 0.500 0.000
0.500 0.500 0.500
0.500 0.000 0.500
0.000 0.000 0.500
0.500 0.000 0.000
0.000 0.000 0.000
0.738 0.715 0.477
0.239 0.716 0.977
0.761 0.284 0.023
0.263 0.284 0.023
0.262 0.285 0.523
0.239 0.715 0.478
0.761 0.285 0.522
0.737 0.716 0.977
0.000 0.500 0.000
```

=====

A plane-wave DFT calculation with PBE was carried out for TbPr4Zn5 after structural relaxation.

* size of the total moment: 0.0 μB per formula unit
* ΔH_f (0 K): -0.304 eV per atom

Geometry as POSCAR:
```
TbPr4Zn5
1.0
-3.425 1.334 0.230
-0.490 -1.806 3.172
6.337 14.663 9.329
Zn Pr Tb
5 4 1
Direct
0.500 0.500 0.091
0.500 0.500 0.909
0.500 0.500 0.500
0.500 0.500 0.702
0.500 0.500 0.298
0.000 0.000 0.805
0.000 0.000 0.602
0.000 0.000 0.398
0.000 0.000 0.195
0.000 0.000 0.000
```

=====

A plane-wave DFT calculation with PBE was carried out for Li3UPd2S6 after structural relaxation.

* size of the total moment: 0.0 μB per formula unit
* formation energy from raw total energies: -0.952 eV per atom

Geometry as POSCAR:
```
Li3UPd2S6
1.0
6.204 -0.007 0.007
-3.106 5.370 0.007
-1.026 -1.777 6.230
S Li U Pd
6 3 1 2
Direct
0.744 0.744 0.245
0.082 0.419 0.244
0.256 0.256 0.755
0.581 0.918 0.756
0.918 0.581 0.756
0.419 0.082 0.244
0.830 0.170 0.500
0.170 0.830 0.500
0.500 0.500 0.500
0.000 0.000 0.000
0.666 0.334 0.000
0.334 0.666 0.000
```

=====

A plane-wave DFT calculation with PBE was carried out for Hf2VIr2 after structural relaxation.

* size of the total moment: 2.4 μB per formula unit
* ΔH_f (0 K): -0.365 eV per atom
* energy above the lowest structure with this stoichiometry: 0.231 eV per atom

Geometry as POSCAR:
```
Hf2VIr2
1.0
-3.223 -2.054 6.775
-6.341 -2.473 -3.767
1.223 -2.750 -0.252
Hf Ir V
4 4 2
Direct
0.848 0.652 0.000
0.152 0.348 0.000
0.652 0.152 0.000
0.348 0.848 0.000
0.354 0.146 0.500
0.854 0.354 0.500
0.146 0.646 0.500
0.646 0.854 0.500
0.500 0.500 0.000
0.000 0.000 0.000
```

=====

A plane-wave DFT calculation with PBE was carried out for MgMn2P after structural relaxation.

* size of the total moment: 5.1 μB per formula unit
* ΔH_f (0 K): 0.016 eV per atom

Geometry as POSCAR:
```
MgMn2P
1.0
-4.490 -0.561 -0.940
-0.560 -3.288 -3.200
2.354 0.098 3.976
Mn P Mg
2 1 1
Direct
0.500 0.500 0.000
0.000 0.000 0.000
0.250 0.750 0.500
0.750 0.250 0.500
```

=====

A plane-wave DFT calculation with PBE was carried out for PrHoMn after structural relaxation.

* size of the total moment: 0.0 μB per formula unit
* ΔH_f (0 K): 0.235 eV per atom
* energy above the lowest structure with this stoichiometry: 0.031 eV per atom

Geometry as POSCAR:
```
PrHoMn
1.0
3.394 0.000 0.000
-1.697 5.890 -0.467
0.000 1.970 7.758
Ho Pr Mn
2 2 2
Direct
0.918 0.835 0.178
0.082 0.165 0.822
0.837 0.675 0.646
0.163 0.325 0.354
0.303 0.605 0.961
0.697 0.395 0.039
```